A relaxed structure of CrReBAu, computed with PBE.

## Properties
Distance to the lowest polymorph of the same formula, meV per atom: 0
Energy of formation, eV/atom: 0.14
DFT total energy, eV/atom: -7.8695

```
data_CrReBAu
_space_group_name_H-M_alt 'A m m 2'
_space_group_IT_number 38
_space_group_name_Hall 'A 2 -2'
_cell_length_a 2.948
_cell_length_b 2.936
_cell_length_c 12.412
_cell_angle_alpha 90.00
_cell_angle_beta 90.00
_cell_angle_gamma 90.00
loop_
_atom_site_label
_atom_site_fract_x
_atom_site_fract_y
_atom_site_fract_z
Cr1 0.000 0.000 0.000
Re1 0.500 0.000 0.638
B1 0.000 0.000 0.195
Au1 0.500 0.000 0.347
```

***

A relaxed structure of Pm6Sn3C, computed with PBE.

## Properties
Energy of formation, eV/atom: -0.49
DFT total energy, eV/atom: -5.4642

```
data_Pm6Sn3C
_space_group_name_H-M_alt 'P 1 21/c 1'
_space_group_IT_number 14
_space_group_name_Hall '-P 2ybc'
_cell_length_a 6.475
_cell_length_b 8.440
_cell_length_c 12.306
_cell_angle_alpha 90.00
_cell_angle_beta 119.47
_cell_angle_gamma 90.00
loop_
_atom_site_label
_atom_site_fract_x
_atom_site_fract_y
_atom_site_fract_z
Pm1 0.101 0.047 0.227
Pm2 0.172 0.717 0.055
Pm3 0.385 0.149 0.052
Sn1 0.326 0.106 0.738
Sn2 0.500 0.000 0.500
C1 0.000 0.000 0.000
```

***

A relaxed structure of ZnSbSe, computed with PBE.

## Properties
Uncorrected formation energy, meV/atom: -48
DFT total energy, eV/atom: -3.0079

```
data_ZnSbSe
_space_group_name_H-M_alt 'P 3 m 1'
_space_group_IT_number 156
_space_group_name_Hall 'P 3 -2"'
_cell_length_a 3.8630
_cell_length_b 3.8630
_cell_length_c 5.2831
_cell_angle_alpha 90.00
_cell_angle_beta 90.00
_cell_angle_gamma 120.00
loop_
_atom_site_label
_atom_site_fract_x
_atom_site_fract_y
_atom_site_fract_z
Zn1 0.0000 0.0000 0.0000
Sb1 0.6667 0.3333 0.3427
Se1 0.3333 0.6667 0.7421
```

***

A relaxed structure of TaCu2Hg, computed with PBE.

## Properties
Energy of formation, eV/atom: 0.24
DFT total energy, eV/atom: -4.8439

```
data_TaCu2Hg
_space_group_name_H-M_alt 'R -3 m'
_space_group_IT_number 166
_space_group_name_Hall '-R 3 2"'
_cell_length_a 2.8842
_cell_length_b 2.8842
_cell_length_c 27.5271
_cell_angle_alpha 90.00
_cell_angle_beta 90.00
_cell_angle_gamma 120.00
loop_
_atom_site_label
_atom_site_fract_x
_atom_site_fract_y
_atom_site_fract_z
Ta1 0.0000 0.0000 0.0000
Cu1 0.0000 0.0000 0.2532
Hg1 0.0000 0.0000 0.5000
```

***

A relaxed structure of VCd2In, computed with PBE.

## Properties
Energy of formation, eV/atom: 0.56
DFT total energy, eV/atom: -2.8571

```
data_VCd2In
_space_group_name_H-M_alt 'R -3 m'
_space_group_IT_number 166
_space_group_name_Hall '-R 3 2"'
_cell_length_a 2.9933
_cell_length_b 2.9933
_cell_length_c 35.1442
_cell_angle_alpha 90.00
_cell_angle_beta 90.00
_cell_angle_gamma 120.00
loop_
_atom_site_label
_atom_site_fract_x
_atom_site_fract_y
_atom_site_fract_z
V1 0.0000 0.0000 0.0000
Cd1 0.0000 0.0000 0.0812
In1 0.0000 0.0000 0.5000
```

***

A relaxed structure of Ta4Nb5Pd2, computed with PBE.

## Properties
Energy of formation, eV/atom: -0.09
DFT total energy, eV/atom: -9.9239

```
data_Ta4Nb5Pd2
_space_group_name_H-M_alt 'P -1'
_space_group_IT_number 2
_space_group_name_Hall '-P 1'
_cell_length_a 2.808
_cell_length_b 7.177
_cell_length_c 9.766
_cell_angle_alpha 92.09
_cell_angle_beta 95.68
_cell_angle_gamma 97.22
loop_
_atom_site_label
_atom_site_fract_x
_atom_site_fract_y
_atom_site_fract_z
Ta1 0.184 0.142 0.413
Ta2 0.265 0.956 0.866
Nb1 0.000 0.500 0.500
Nb2 0.103 0.321 0.958
Nb3 0.442 0.594 0.769
Pd1 0.371 0.778 0.315
```

***

A relaxed structure of AlZnTe2, computed with PBE.

## Properties
Distance to the lowest polymorph of the same formula, meV per atom: 32
Uncorrected formation energy, meV/atom: -224
DFT total energy, eV/atom: -3.0490

```
data_AlZnTe2
_space_group_name_H-M_alt 'A m m 2'
_space_group_IT_number 38
_space_group_name_Hall 'A 2 -2'
_cell_length_a 5.609
_cell_length_b 5.620
_cell_length_c 6.600
_cell_angle_alpha 90.00
_cell_angle_beta 90.00
_cell_angle_gamma 90.00
loop_
_atom_site_label
_atom_site_fract_x
_atom_site_fract_y
_atom_site_fract_z
Al1 0.000 0.000 0.000
Zn1 0.500 0.000 0.675
Te1 0.000 0.000 0.580
Te2 0.500 0.000 0.093
```

***

A relaxed structure of TaGaRh, computed with PBE.

## Properties
Energy of formation, eV/atom: -0.47
DFT total energy, eV/atom: -7.8774

```
data_TaGaRh
_space_group_name_H-M_alt 'I 4 m m'
_space_group_IT_number 107
_space_group_name_Hall 'I 4 -2'
_cell_length_a 2.958
_cell_length_b 2.958
_cell_length_c 10.579
_cell_angle_alpha 90.00
_cell_angle_beta 90.00
_cell_angle_gamma 90.00
loop_
_atom_site_label
_atom_site_fract_x
_atom_site_fract_y
_atom_site_fract_z
Ta1 0.000 0.000 0.000
Ga1 0.000 0.000 0.678
Rh1 0.000 0.000 0.326
```

***

Number 1: M_tot 0.5578 μB per atom. Number 2: M_tot 0.0000 μB per atom. Number 3: M_tot 0.0000 μB per atom. Number 4: M_tot 0.0000 μB per atom. Number 5: M_tot 0.6397 μB per atom. Number 6: M_tot 0.0000 μB per atom. Number 7: M_tot 0.0000 μB per atom. Number 8: M_tot 0.0000 μB per atom.